Record 1
VASP calculation (PBE) on a relaxed structure of Th3Al2Pt4.

a b c (Å): 11.3787 4.3539 8.7367
angles (deg): 90.00 115.99 90.00
Closest atoms and distances in Å follow each position.
Space group C2/m (No. 12)
Unique sites:
Th1 0.0000 0.0000 0.0000 (multiplicity 2)  6 Pt 3.03-3.23
Th2 0.1325 0.5000 0.6982 (multiplicity 4)  7 Pt 2.99-3.23, 4 Al 3.25-3.33
Al1 0.1739 0.5000 0.3490 (multiplicity 4)  4 Pt 2.55-2.67
Pt1 0.0823 0.0000 0.4033 (multiplicity 4)  3 Al 2.55-2.67
Pt2 0.2033 0.5000 0.0733 (multiplicity 4)  1 Al 2.57

Summary:
DOS(E_F) = 0.677 states/eV/atom
Final energy = -128.7 eV for the cell shown
Calculated density = 13.064 g cm⁻³

***

Record 2
VASP calculation (PBE) on a relaxed structure of ThTiAl2Pt4.

a b c (Å): 4.3641 4.3641 26.0310
angles (deg): 90.00 90.00 120.00
Closest atoms and distances in Å follow each position.
Space group R-3m (No. 166, hexagonal axes)
Unique sites:
Th1 0.0000 0.0000 0.0000 (multiplicity 3)  6 Pt 3.05
Ti1 0.0000 0.0000 0.5000 (multiplicity 3)  8 Pt 2.61-2.66
Al1 0.0000 0.0000 0.2390 (multiplicity 6)  7 Pt 2.62-2.73
Pt1 0.0000 0.0000 0.1344 (multiplicity 6)  3 Ti 2.66, 4 Al 2.72-2.73
Pt2 0.0000 0.0000 0.3997 (multiplicity 6)  1 Ti 2.61, 3 Al 2.62

Summary:
DOS(E_F) = 0.281 states/eV/atom
Final energy = -167.3 eV for the cell shown
Calculated density = 12.928 g cm⁻³

***

Record 3
VASP calculation (PBE) on a relaxed structure of ThAlZnPt.

a b c (Å): 6.8657 6.8657 6.8657
angles (deg): 90.00 90.00 90.00
Closest atoms and distances in Å follow each position.
Space group F-43m (No. 216)
Unique sites:
Th1 0.0000 0.0000 0.0000 (multiplicity 4)  4 Pt 2.97, 4 Zn 2.97
Al1 0.0000 0.0000 0.5000 (multiplicity 4)  4 Pt 2.97, 4 Zn 2.97
Zn1 0.2500 0.2500 0.2500 (multiplicity 4)  4 Th 2.97, 4 Al 2.97
Pt1 0.2500 0.2500 0.7500 (multiplicity 4)  4 Th 2.97, 4 Al 2.97

Summary:
DOS(E_F) = 0.499 states/eV/atom
Final energy = -84.3 eV for the cell shown
Calculated density = 10.662 g cm⁻³

***

Record 4
VASP calculation (PBE) on a relaxed structure of Th2Al4ZnPt3.

a b c (Å): 4.2995 4.2995 10.4268
angles (deg): 90.00 90.00 90.00
Closest atoms and distances in Å follow each position.
Space group P-4m2 (No. 115)
Unique sites:
Th1 0.0000 0.5000 0.2478 (multiplicity 2)  8 Al 3.27-3.40, 6 Pt 3.29-3.36, 2 Zn 3.36
Al1 0.0000 0.0000 0.5000 (multiplicity 1)  4 Pt 2.55
Al2 0.0000 0.5000 0.8675 (multiplicity 2)  3 Pt 2.46-2.56, 2 Zn 2.56
Al3 0.5000 0.5000 0.5000 (multiplicity 1)  4 Pt 2.55
Zn1 0.5000 0.5000 0.0000 (multiplicity 1)  4 Al 2.56
Pt1 0.0000 0.0000 0.0000 (multiplicity 1)  4 Al 2.56
Pt2 0.0000 0.5000 0.6315 (multiplicity 2)  5 Al 2.46-2.55

Summary:
DOS(E_F) = 0.513 states/eV/atom
Final energy = -58.9 eV for the cell shown
Calculated density = 10.533 g cm⁻³

***

Record 5
VASP calculation (PBE) on a relaxed structure of ThAlZnPt3.

a b c (Å): 6.7763 12.0431 5.7346
angles (deg): 90.00 90.00 90.00
Closest atoms and distances in Å follow each position.
Space group Cmcm (No. 63)
Unique sites:
Th1 0.0000 0.2063 0.2500 (multiplicity 4)  1 Zn 3.02, 2 Al 3.04, 6 Pt 3.18-3.19
Al1 0.0000 0.1229 0.7500 (multiplicity 4)  5 Pt 2.38-2.49
Zn1 0.0000 0.4574 0.2500 (multiplicity 4)  5 Pt 2.50-2.67
Pt1 0.0000 0.3209 0.7500 (multiplicity 4)  1 Al 2.38, 1 Zn 2.67
Pt2 0.2073 0.0000 0.0000 (multiplicity 8)  2 Al 2.49, 2 Zn 2.50

Summary:
DOS(E_F) = 0.345 states/eV/atom
Final energy = -140.2 eV for the cell shown
Calculated density = 12.911 g cm⁻³

***

Record 6
VASP calculation (PBE) on a relaxed structure of ThAlZn2Pt.

a b c (Å): 3.9235 4.2384 11.6274
angles (deg): 90.00 90.00 90.00
Closest atoms and distances in Å follow each position.
Space group Imm2 (No. 44)
Unique sites:
Th1 0.0000 0.0000 0.0000 (multiplicity 2)  4 Pt 3.12, 6 Zn 3.20-3.43
Al1 0.0000 0.5000 0.7539 (multiplicity 2)  2 Pt 2.59, 6 Zn 2.63-2.89
Zn1 0.0000 0.0000 0.6194 (multiplicity 2)  2 Zn 2.54, 1 Pt 2.57, 2 Al 2.63
Zn2 0.0000 0.5000 0.2585 (multiplicity 2)  2 Zn 2.54, 2 Pt 2.67
Pt1 0.0000 0.0000 0.3988 (multiplicity 2)  3 Zn 2.57-2.67, 2 Al 2.59

Summary:
DOS(E_F) = 0.463 states/eV/atom
Final energy = -46.0 eV for the cell shown
Calculated density = 10.047 g cm⁻³

***

Question: Which of these has the highest DOS(E_F)?
Answer: Th3Al2Pt4

***

Question: The highest final energy belongs to which entry?
Answer: ThAlZn2Pt

***

Question: The highest calculated density belongs to which entry?
Answer: Th3Al2Pt4

***

Question: The lowest calculated density belongs to which entry?
Answer: ThAlZn2Pt